1.
Entry from Alexandria via LeMat-Bulk: a relaxed structure of YReW (PBE-GGA).

Values from the calculation:
- Energy above the most stable polymorph in this dataset: 0 meV/atom
- Electronic total energy: -10.700 eV/atom
- Density of states at the Fermi level: 0.767 states/eV/atom
- Calculated formation energy: -0.078 eV/atom
- Symmetry: Imma, No. 74
- Volume: 19.4 A^3/atom

Unit cell a=5.477 b=5.477 c=5.477 alpha=89.64 beta=59.89 gamma=119.48
Atoms (fractional coordinates):
Re: 0.500 0.500 0.000
Y: 0.250 0.127 0.623
Re: 0.000 0.500 0.500
W: 0.500 0.000 0.000
Y: 0.750 0.873 0.377
W: 0.000 0.500 0.000

***

2.
Entry from Alexandria via LeMat-Bulk: a relaxed structure of Sr3InO (PBE-GGA).

Values from the calculation:
- Electronic total energy: -3.701 eV/atom
- Density of states at the Fermi level: 0.310 states/eV/atom
- Symmetry: C2/m, No. 12
- Volume: 34.0 A^3/atom

Unit cell a=19.256 b=9.178 c=9.178 alpha=156.57 beta=146.31 gamma=33.69
Atoms (fractional coordinates):
In: 0.773 0.186 0.814
Sr: 0.033 0.364 0.636
Sr: 0.967 0.636 0.364
O: 0.581 0.113 0.887
O: 0.419 0.887 0.113
Sr: 0.655 0.636 0.364
Sr: 0.345 0.364 0.636
In: 0.227 0.814 0.186
Sr: 0.586 0.516 0.484
Sr: 0.414 0.484 0.516

***

3.
Entry from Alexandria via LeMat-Bulk: a relaxed structure of Ce2ErCd (PBE-GGA).

Values from the calculation:
- Energy above the most stable polymorph in this dataset: 0 meV/atom
- Electronic total energy: -4.363 eV/atom
- Density of states at the Fermi level: 2.799 states/eV/atom
- Calculated formation energy: -0.027 eV/atom
- Symmetry: P4/mmm, No. 123
- Volume: 27.0 A^3/atom

Unit cell a=5.216 b=4.553 c=4.553 alpha=90.00 beta=90.00 gamma=90.00
Atoms (fractional coordinates):
Ce: 0.000 0.000 0.500
Er: 0.500 0.000 0.000
Ce: 0.000 0.500 0.000
Cd: 0.500 0.500 0.500

***

4.
Entry from Alexandria via LeMat-Bulk: a relaxed structure of Dy2Tm2Sb3 (PBE-GGA).

Values from the calculation:
- Energy above the most stable polymorph in this dataset: 0 meV/atom
- Electronic total energy: -5.313 eV/atom
- Density of states at the Fermi level: 1.003 states/eV/atom
- Symmetry: I2_13, No. 199
- Volume: 27.2 A^3/atom

Unit cell a=7.911 b=7.911 c=7.911 alpha=109.47 beta=109.47 gamma=109.47
Atoms (fractional coordinates):
Tm: 0.355 0.500 0.000
Dy: 0.852 0.500 0.000
Dy: 0.500 0.352 0.500
Sb: 0.877 0.250 0.627
Tm: 0.500 0.855 0.500
Sb: 0.750 0.627 0.377
Tm: 0.000 0.000 0.855
Dy: 0.648 0.148 0.148
Tm: 0.145 0.645 0.645
Sb: 0.623 0.750 0.873
Sb: 0.127 0.377 0.250
Dy: 0.000 0.000 0.352
Sb: 0.373 0.123 0.750
Sb: 0.250 0.873 0.123

***

5.
Entry from Alexandria via LeMat-Bulk: a relaxed structure of YTl3 (PBE-GGA).

Values from the calculation:
- Electronic total energy: -3.490 eV/atom
- Density of states at the Fermi level: 0.820 states/eV/atom
- Calculated formation energy: -0.099 eV/atom
- Symmetry: P2/m, No. 10
- Volume: 28.9 A^3/atom

Unit cell a=5.685 b=3.529 c=5.769 alpha=87.45 beta=90.00 gamma=90.00
Atoms (fractional coordinates):
Tl: 0.000 0.519 0.499
Y: 0.500 0.250 0.250
Tl: 0.000 0.981 0.001
Tl: 0.500 0.750 0.750

***

6.
Entry from Alexandria via LeMat-Bulk: a relaxed structure of CaYSb3 (PBE-GGA).

Values from the calculation:
- Energy above the most stable polymorph in this dataset: 0 meV/atom
- Electronic total energy: -4.306 eV/atom
- Density of states at the Fermi level: 0.782 states/eV/atom
- Symmetry: Pm-3m, No. 221
- Volume: 37.9 A^3/atom

Unit cell a=5.743 b=5.743 c=5.743 alpha=90.00 beta=90.00 gamma=90.00
Atoms (fractional coordinates):
Ca: 0.500 0.500 0.500
Sb: 0.000 0.000 0.500
Sb: 0.000 0.500 0.000
Y: 0.000 0.000 0.000
Sb: 0.500 0.000 0.000

***

7.
Entry from Alexandria via LeMat-Bulk: a relaxed structure of Er8TlTe4As3 (PBE-GGA).

Values from the calculation:
- Electronic total energy: -5.353 eV/atom
- Density of states at the Fermi level: 0.256 states/eV/atom
- Symmetry: R-3m, No. 166
- Volume: 27.1 A^3/atom

Unit cell a=8.448 b=8.534 c=8.448 alpha=119.67 beta=120.00 gamma=90.00
Atoms (fractional coordinates):
Er: 0.264 0.275 0.020
Er: 0.736 0.725 0.980
Er: 0.245 0.725 0.489
Er: 0.755 0.275 0.020
As: 0.000 0.500 0.500
As: 0.500 0.500 0.000
As: 0.500 0.500 0.500
Te: 0.500 0.000 0.000
Te: 0.000 0.000 0.000
Er: 0.261 0.283 0.522
Tl: 0.000 0.500 0.000
Er: 0.739 0.717 0.478
Te: 0.500 0.000 0.500
Er: 0.755 0.275 0.511
Te: 0.000 0.000 0.500
Er: 0.245 0.725 0.980

***

8.
Entry from Alexandria via LeMat-Bulk: a relaxed structure of LiLaW (PBE-GGA).

Values from the calculation:
- Energy above the most stable polymorph in this dataset: 42 meV/atom
- Electronic total energy: -5.893 eV/atom
- Density of states at the Fermi level: 0.923 states/eV/atom
- Calculated formation energy: 0.705 eV/atom
- Symmetry: Fmm2, No. 42
- Volume: 21.4 A^3/atom

Unit cell a=8.256 b=8.079 c=2.937 alpha=83.06 beta=76.26 gamma=20.68
Atoms (fractional coordinates):
La: 0.013 0.013 0.987
W: 0.673 0.673 0.327
Li: 0.313 0.313 0.687

***

9.
Entry from Alexandria via LeMat-Bulk: a relaxed structure of Cr2HgAuI (PBE-GGA).

Values from the calculation:
- Electronic total energy: -3.671 eV/atom
- Density of states at the Fermi level: 0.178 states/eV/atom
- Symmetry: P4/mmm, No. 123
- Volume: 36.0 A^3/atom

Unit cell a=5.280 b=6.447 c=5.280 alpha=90.00 beta=90.00 gamma=90.00
Atoms (fractional coordinates):
Cr: 0.000 0.000 0.500
Cr: 0.500 0.000 0.000
I: 0.000 0.000 0.000
Hg: 0.000 0.500 0.000
Au: 0.500 0.500 0.500

***

10.
Entry from Alexandria via LeMat-Bulk: a relaxed structure of Cs3K3MnCl8 (PBE-GGA).

Values from the calculation:
- Electronic total energy: -3.765 eV/atom
- Density of states at the Fermi level: 0.000 states/eV/atom
- Symmetry: R-3m, No. 166
- Volume: 37.7 A^3/atom

Unit cell a=9.092 b=9.089 c=9.492 alpha=118.60 beta=90.00 gamma=120.01
Atoms (fractional coordinates):
Cl: 0.199 0.399 0.686
Cs: 0.000 0.000 0.000
Cl: 0.260 0.520 0.280
Cs: 0.000 0.500 0.000
Cl: 0.212 0.013 0.314
Cl: 0.788 0.987 0.686
Mn: 0.000 0.000 0.500
Cl: 0.801 0.013 0.314
Cl: 0.199 0.987 0.686
Cl: 0.801 0.601 0.314
Cs: 0.500 0.500 0.000
K: 0.500 0.500 0.500
Cl: 0.740 0.480 0.720
K: 0.500 0.000 0.500
K: 0.000 0.500 0.500

***

11.
Entry from Alexandria via LeMat-Bulk: a relaxed structure of Pm6Te5Ir (PBE-GGA).

Values from the calculation:
- Electronic total energy: -5.759 eV/atom
- Density of states at the Fermi level: 0.853 states/eV/atom
- Symmetry: C2/m, No. 12
- Volume: 31.4 A^3/atom

Unit cell a=7.708 b=8.923 c=7.730 alpha=106.94 beta=99.66 gamma=124.97
Atoms (fractional coordinates):
Pm: 0.545 0.780 0.000
Pm: 0.455 0.220 0.000
Te: 0.336 0.336 0.671
Pm: 0.152 0.927 0.299
Te: 0.680 0.180 0.359
Pm: 0.852 0.627 0.701
Pm: 0.848 0.073 0.701
Te: 0.664 0.664 0.329
Te: 0.320 0.820 0.641
Pm: 0.148 0.373 0.299
Te: 0.000 0.500 0.000
Ir: 0.000 0.000 0.000

***

12.
Entry from Alexandria via LeMat-Bulk: a relaxed structure of Pm2PrErS4 (PBE-GGA).

Values from the calculation:
- Electronic total energy: -6.420 eV/atom
- Density of states at the Fermi level: 0.576 states/eV/atom
- Symmetry: P2/m, No. 10
- Volume: 22.8 A^3/atom

Unit cell a=3.964 b=7.018 c=6.941 alpha=108.87 beta=90.00 gamma=90.00
Atoms (fractional coordinates):
Pm: 0.000 0.500 0.500
Er: 0.500 0.500 0.000
S: 0.500 0.740 0.752
Pm: 0.500 0.000 0.500
S: 0.000 0.264 0.760
Pr: 0.000 0.000 0.000
S: 0.500 0.260 0.248
S: 0.000 0.736 0.240

***

13.
Entry from Alexandria via LeMat-Bulk: a relaxed structure of SmY4Tm2 (PBE-GGA).

Values from the calculation:
- Energy above the most stable polymorph in this dataset: 0 meV/atom
- Electronic total energy: -5.616 eV/atom
- Density of states at the Fermi level: 1.609 states/eV/atom
- Calculated formation energy: 0.029 eV/atom
- Symmetry: C2/m, No. 12
- Volume: 32.0 A^3/atom

Unit cell a=3.540 b=8.728 c=8.509 alpha=118.61 beta=101.97 gamma=90.04
Atoms (fractional coordinates):
Y: 0.296 0.706 0.591
Sm: 0.000 0.000 0.000
Y: 0.361 0.170 0.721
Y: 0.704 0.294 0.409
Y: 0.639 0.830 0.279
Tm: 0.070 0.430 0.141
Tm: 0.930 0.570 0.859

***

14.
Entry from Alexandria via LeMat-Bulk: a relaxed structure of Dy2NpRu2 (PBE-GGA).

Values from the calculation:
- Electronic total energy: -8.452 eV/atom
- Density of states at the Fermi level: 1.347 states/eV/atom
- Calculated formation energy: -0.312 eV/atom
- Symmetry: C2/c, No. 15
- Volume: 22.2 A^3/atom

Unit cell a=5.788 b=5.788 c=7.781 alpha=80.48 beta=80.48 gamma=60.40
Atoms (fractional coordinates):
Dy: 0.783 0.521 0.348
Dy: 0.521 0.783 0.848
Ru: 0.994 0.262 0.990
Np: 0.862 0.138 0.750
Ru: 0.006 0.738 0.010
Np: 0.138 0.862 0.250
Dy: 0.217 0.479 0.652
Ru: 0.262 0.994 0.490
Ru: 0.738 0.006 0.510
Dy: 0.479 0.217 0.152

***

15.
Entry from Alexandria via LeMat-Bulk: a relaxed structure of Ba2CaHgIr (PBE-GGA).

Values from the calculation:
- Electronic total energy: -3.216 eV/atom
- Density of states at the Fermi level: 0.578 states/eV/atom
- Calculated formation energy: -0.214 eV/atom
- Symmetry: P4/mmm, No. 123
- Volume: 40.9 A^3/atom

Unit cell a=6.099 b=6.099 c=5.505 alpha=90.00 beta=90.00 gamma=90.00
Atoms (fractional coordinates):
Ba: 0.000 0.500 0.000
Ba: 0.500 0.000 0.000
Hg: 0.500 0.500 0.500
Ir: 0.000 0.000 0.000
Ca: 0.000 0.000 0.500

***

16.
Entry from Alexandria via LeMat-Bulk: a relaxed structure of Hg5Pb5Au2 (PBE-GGA).

Values from the calculation:
- Electronic total energy: -2.194 eV/atom
- Density of states at the Fermi level: 0.281 states/eV/atom
- Calculated formation energy: 0.023 eV/atom
- Symmetry: C2/m, No. 12
- Volume: 26.6 A^3/atom

Unit cell a=5.242 b=6.115 c=11.029 alpha=89.37 beta=90.00 gamma=115.38
Atoms (fractional coordinates):
Pb: 0.193 0.386 0.256
Pb: 0.335 0.670 0.544
Au: 0.868 0.736 0.265
Hg: 0.481 0.961 0.220
Hg: 0.694 0.387 0.047
Pb: 0.665 0.330 0.456
Au: 0.132 0.264 0.735
Pb: 0.807 0.614 0.744
Hg: 0.306 0.613 0.953
Hg: 0.519 0.039 0.780
Pb: 0.000 0.000 0.000
Hg: 0.000 0.000 0.500

***

17.
Entry from Alexandria via LeMat-Bulk: a relaxed structure of HfTiMoRh (PBE-GGA).

Values from the calculation:
- Energy above the most stable polymorph in this dataset: 14 meV/atom
- Electronic total energy: -9.515 eV/atom
- Density of states at the Fermi level: 0.868 states/eV/atom
- Calculated formation energy: -0.507 eV/atom
- Symmetry: F-43m, No. 216
- Volume: 16.5 A^3/atom

Unit cell a=4.532 b=4.532 c=4.532 alpha=60.00 beta=60.00 gamma=60.00
Atoms (fractional coordinates):
Mo: 0.500 0.500 0.500
Hf: 0.750 0.750 0.750
Ti: 0.250 0.250 0.250
Rh: 0.000 0.000 0.000

***

18.
Entry from Alexandria via LeMat-Bulk: a relaxed structure of Ti2Se2Br (PBE-GGA).

Values from the calculation:
- Energy above the most stable polymorph in this dataset: 0 meV/atom
- Electronic total energy: -5.920 eV/atom
- Density of states at the Fermi level: 0.874 states/eV/atom
- Symmetry: I4/mmm, No. 139
- Volume: 20.4 A^3/atom

Unit cell a=3.647 b=3.647 c=8.081 alpha=103.04 beta=103.04 gamma=90.00
Atoms (fractional coordinates):
Se: 0.655 0.655 0.309
Br: 0.000 0.000 0.000
Se: 0.345 0.345 0.691
Ti: 0.823 0.823 0.645
Ti: 0.177 0.177 0.355

***

19.
Entry from Alexandria via LeMat-Bulk: a relaxed structure of Co2SiNiH (PBE-GGA).

Values from the calculation:
- Electronic total energy: -6.048 eV/atom
- Density of states at the Fermi level: 0.520 states/eV/atom
- Symmetry: P4/mmm, No. 123
- Volume: 8.9 A^3/atom

Unit cell a=3.570 b=3.570 c=3.500 alpha=90.00 beta=90.00 gamma=90.00
Atoms (fractional coordinates):
Ni: 0.000 0.000 0.500
Co: 0.500 0.000 0.000
H: 0.000 0.000 0.000
Si: 0.500 0.500 0.500
Co: 0.000 0.500 0.000

***

20.
Entry from Alexandria via LeMat-Bulk: a relaxed structure of SrReI2 (PBE-GGA).

Values from the calculation:
- Energy above the most stable polymorph in this dataset: 0 meV/atom
- Electronic total energy: -3.803 eV/atom
- Density of states at the Fermi level: 0.397 states/eV/atom
- Symmetry: I-42d, No. 122
- Volume: 34.7 A^3/atom

Unit cell a=5.807 b=5.807 c=9.200 alpha=71.60 beta=71.60 gamma=90.00
Atoms (fractional coordinates):
Re: 0.000 0.000 0.000
Re: 0.750 0.250 0.500
Sr: 0.500 0.500 0.000
Sr: 0.250 0.750 0.500
I: 0.375 0.296 0.750
I: 0.704 0.125 0.250
I: 0.875 0.954 0.750
I: 0.046 0.625 0.250